Entry 1:
Entry from Alexandria: a geometry-optimized ScCdC2O structure (PBE-GGA).

Summary:
Energy above the most stable polymorph in this dataset   0.0 meV/atom
Total magnetization   0.45 Bohr magnetons per cell
E_form (uncorrected)   1.502 eV/atom
Symmetry   P4/mmm

abc: 4.1386 4.1386 4.2161
angles: 90.00 90.00 90.00
Closest atoms and distances in Å follow each position.
Sites, in units of the cell vectors:
Sc (0.0000, 0.0000, 0.0000)  4 O 2.93, 8 C 2.95
Cd (0.5000, 0.5000, 0.5000)  4 C 2.07, 2 O 2.11
C (0.0000, 0.5000, 0.5000)  2 Cd 2.07
C (0.5000, 0.0000, 0.5000)  2 Cd 2.07
O (0.5000, 0.5000, 0.0000)  2 Cd 2.11

***

Entry 2:
Entry from Alexandria: a geometry-optimized MnTlCd2 structure (PBE-GGA).

Summary:
Energy above the most stable polymorph in this dataset   81.8 meV/atom
Total magnetization   3.61 Bohr magnetons per cell
Formation enthalpy at 0 K   0.30 eV/atom
Symmetry   Cmmm

abc: 5.3504 5.3504 3.2946
angles: 90.00 90.00 112.59
Closest atoms and distances in Å follow each position.
Sites, in units of the cell vectors:
Mn (0.0000, 0.0000, 0.0000)  2 Tl 2.97, 8 Cd 3.14, 2 Mn 3.29
Tl (0.5000, 0.5000, 0.0000)  2 Mn 2.97, 8 Cd 3.14, 2 Tl 3.29
Cd (0.0000, 0.5000, 0.5000)  4 Cd 2.97-3.29, 4 Tl 3.14, 4 Mn 3.14
Cd (0.5000, 0.0000, 0.5000)  4 Cd 2.97-3.29, 4 Mn 3.14, 4 Tl 3.14

***

Entry 3:
Entry from Alexandria: a geometry-optimized TbDy2HoN4 structure (PBE-GGA).

Summary:
Total magnetization   0.00 Bohr magnetons per cell
E_form (uncorrected)   -1.704 eV/atom
Symmetry   P2/m

abc: 6.0160 3.4747 6.0161
angles: 90.00 109.45 90.00
Closest atoms and distances in Å follow each position.
Sites, in units of the cell vectors:
Tb (0.0000, 0.0000, 0.0000)  6 N 2.46
Dy (0.5000, 0.0000, 0.5000)  6 N 2.45
Dy (0.5000, 0.5000, 0.0000)  6 N 2.46
Ho (0.0000, 0.5000, 0.5000)  6 N 2.45
N (0.2496, 0.0000, 0.7485)  3 Dy 2.45-2.46, 2 Ho 2.45, 1 Tb 2.46
N (0.2505, 0.5000, 0.2514)  1 Ho 2.45, 3 Dy 2.45-2.46, 2 Tb 2.46
N (0.7495, 0.5000, 0.7486)  1 Ho 2.45, 3 Dy 2.45-2.46, 2 Tb 2.46
N (0.7504, 0.0000, 0.2515)  3 Dy 2.45-2.46, 2 Ho 2.45, 1 Tb 2.46

***

Question: Look up the total magnetization of the third one.
Answer: 0.00 Bohr magnetons per cell